No. 1
# Tb4Ga12Ag | Alexandria via LeMat-Bulk | GGA-PBE | relaxed
# Density of states at the Fermi level in states/eV/cell: 14.24
# Magnetic moment in μB per atom: 0.00
# Calculated formation energy in eV per formula unit: -8.804
data_Tb4Ga12Ag
_chemical_formula_sum 'Tb8 Ga24 Ag2'
_cell_length_a 8.709
_cell_length_b 8.709
_cell_length_c 8.709
_cell_angle_alpha 90.00
_cell_angle_beta 90.00
_cell_angle_gamma 90.00
_space_group_name_H-M_alt 'I m -3 m'
_space_group_IT_number 229
_space_group_name_Hall '-I 4 2 3'
loop_
_atom_site_label
_atom_site_fract_x
_atom_site_fract_y
_atom_site_fract_z
Tb1 0.250 0.250 0.250
Ga1 0.000 0.000 0.304
Ga2 0.000 0.250 0.500
Ag1 0.000 0.000 0.000

***

No. 2
# Tb2Ga2Ag | Alexandria via LeMat-Bulk | GGA-PBE | relaxed
# Density of states at the Fermi level in states/eV/cell: 11.81
# Magnetic moment in μB per atom: 0.00
# Calculated formation energy in eV per formula unit: -2.691
data_Tb2Ga2Ag
_chemical_formula_sum 'Tb8 Ga8 Ag4'
_cell_length_a 10.814
_cell_length_b 4.461
_cell_length_c 10.602
_cell_angle_alpha 90.00
_cell_angle_beta 117.72
_cell_angle_gamma 90.00
_space_group_name_H-M_alt 'C 1 2/m 1'
_space_group_IT_number 12
loop_
_space_group_symop_operation_xyz
'x,y,z'
'-x,-y,-z'
'-x,y,-z'
'x,-y,z'
'x+1/2,y+1/2,z'
'-x+1/2,-y+1/2,-z'
'-x+1/2,y+1/2,-z'
'x+1/2,-y+1/2,z'
loop_
_atom_site_label
_atom_site_fract_x
_atom_site_fract_y
_atom_site_fract_z
Tb1 0.011 0.000 0.328
Tb2 0.182 0.000 0.105
Ga1 0.029 0.500 0.890
Ga2 0.133 0.500 0.567
Ag1 0.224 0.500 0.350

***

No. 3
# Tb5Ga2Ag | Alexandria via LeMat-Bulk | GGA-PBE | relaxed
# Density of states at the Fermi level in states/eV/cell: 28.15
# Magnetic moment in μB per atom: 0.00
# Calculated formation energy in eV per formula unit: -3.086
# Relative energy among the computed polymorphs in meV/atom: 0
data_Tb5Ga2Ag
_chemical_formula_sum 'Tb20 Ga8 Ag4'
_cell_length_a 7.551
_cell_length_b 7.551
_cell_length_c 14.854
_cell_angle_alpha 90.00
_cell_angle_beta 90.00
_cell_angle_gamma 90.00
_space_group_name_H-M_alt 'I 4/m c m'
_space_group_IT_number 140
_space_group_name_Hall '-I 4 2c'
loop_
_atom_site_label
_atom_site_fract_x
_atom_site_fract_y
_atom_site_fract_z
Tb1 0.000 0.000 0.000
Tb2 0.169 0.331 0.146
Ga1 0.121 0.379 0.500
Ag1 0.000 0.000 0.250

***

No. 4
# Tb2Ga3Ag2 | Alexandria via LeMat-Bulk | GGA-PBE | relaxed
# Density of states at the Fermi level in states/eV/cell: 18.04
# Magnetic moment in μB per atom: 0.00
# Calculated formation energy in eV per formula unit: -3.293
# Relative energy among the computed polymorphs in meV/atom: 0
data_Tb2Ga3Ag2
_chemical_formula_sum 'Tb8 Ga12 Ag8'
_cell_length_a 4.231
_cell_length_b 18.913
_cell_length_c 7.350
_cell_angle_alpha 90.00
_cell_angle_beta 90.00
_cell_angle_gamma 90.00
_space_group_name_H-M_alt 'C m c m'
_space_group_IT_number 63
_space_group_name_Hall '-C 2c 2'
loop_
_atom_site_label
_atom_site_fract_x
_atom_site_fract_y
_atom_site_fract_z
Tb1 0.000 0.056 0.250
Tb2 0.000 0.154 0.750
Ga1 0.000 0.227 0.250
Ga2 0.000 0.443 0.078
Ag1 0.000 0.314 0.555

***

No. 5
# Tb2Ga8Ag | Alexandria via LeMat-Bulk | GGA-PBE | relaxed
# Density of states at the Fermi level in states/eV/cell: 4.21
# Magnetic moment in μB per atom: 0.00
# Calculated formation energy in eV per formula unit: -4.037
data_Tb2Ga8Ag
_chemical_formula_sum 'Tb2 Ga8 Ag1'
_cell_length_a 4.379
_cell_length_b 4.379
_cell_length_c 11.367
_cell_angle_alpha 90.00
_cell_angle_beta 90.00
_cell_angle_gamma 90.00
_space_group_name_H-M_alt 'P 4/m m m'
_space_group_IT_number 123
_space_group_name_Hall '-P 4 2'
loop_
_atom_site_label
_atom_site_fract_x
_atom_site_fract_y
_atom_site_fract_z
Tb1 0.000 0.000 0.187
Ga1 0.000 0.500 0.000
Ga2 0.000 0.500 0.366
Ga3 0.500 0.500 0.189
Ag1 0.000 0.000 0.500

***

No. 6
# Tb4Ga3Ag | Alexandria via LeMat-Bulk | GGA-PBE | relaxed
# Density of states at the Fermi level in states/eV/cell: 7.87
# Magnetic moment in μB per atom: 0.00
# Calculated formation energy in eV per formula unit: -4.031
# Relative energy among the computed polymorphs in meV/atom: 16
data_Tb4Ga3Ag
_chemical_formula_sum 'Tb4 Ga3 Ag1'
_cell_length_a 4.066
_cell_length_b 4.315
_cell_length_c 11.199
_cell_angle_alpha 90.00
_cell_angle_beta 90.00
_cell_angle_gamma 90.00
_space_group_name_H-M_alt 'P m m 2'
_space_group_IT_number 25
loop_
_space_group_symop_operation_xyz
'x,y,z'
'-x,-y,z'
'-x,y,z'
'x,-y,z'
loop_
_atom_site_label
_atom_site_fract_x
_atom_site_fract_y
_atom_site_fract_z
Tb1 0.000 0.000 0.000
Tb2 0.000 0.500 0.286
Tb3 0.500 0.000 0.498
Tb4 0.500 0.500 0.785
Ga1 0.000 0.500 0.558
Ga2 0.500 0.000 0.216
Ga3 0.500 0.500 0.067
Ag1 0.000 0.000 0.717